Material: LiGdThMn
Method: DFT, PBE
State: relaxed

abc: 5.0311 5.0311 5.0311
angles: 60.00 60.00 60.00
Closest atoms and distances in Å follow each position.
Atoms (fractional coordinates):
1 Mn 0.5000 0.5000 0.5000  4 Gd 3.08, 4 Th 3.08
2 Gd 0.2500 0.2500 0.2500  4 Li 3.08, 4 Mn 3.08
3 Th 0.7500 0.7500 0.7500  4 Mn 3.08, 4 Li 3.08
4 Li 0.0000 0.0000 0.0000  4 Th 3.08, 4 Gd 3.08

Calculated values
- formation enthalpy at 0 K (eV per atom) = 0.139